Record 1
PBE-GGA Mn2ZnCl, relaxed; mass density = 5.1 g/cm³; E_form (uncorrected) = 305 meV per atom; DOS(E_F) = 2.55 states/eV/f.u.
1.0
-1.1241 -1.1936 2.5067
4.7047 -2.1520 1.0850
1.1170 3.5455 2.1891
Mn Cl Zn
2 1 1
Direct
0.0000 0.0000 0.0000
0.5000 0.5000 0.0000
0.0000 0.5000 0.5000
0.5000 0.0000 0.5000

Record 2
PBE-GGA MnZn4Cl, relaxed; mass density = 5.5 g/cm³; E_form (uncorrected) = 242 meV per atom; DOS(E_F) = 2.68 states/eV/f.u.
1.0
3.8662 -2.2798 -2.8587
3.2159 -3.5883 2.2581
-0.3689 -5.1316 -1.3591
Zn Cl Mn
4 1 1
Direct
0.3735 0.3735 0.8796
0.3735 0.8796 0.3735
0.3735 0.3735 0.3735
0.8796 0.3735 0.3735
0.7500 0.7500 0.7500
0.0000 0.0000 0.0000

Record 3
PBE-GGA MnZn2Cl, relaxed; mass density = 5.4 g/cm³; E_form (uncorrected) = 6 meV per atom; DOS(E_F) = 2.60 states/eV/f.u.
1.0
8.1256 0.0107 0.0063
7.5096 3.1035 0.0063
7.5096 1.4957 2.7193
Zn Cl Mn
2 1 1
Direct
0.4986 0.4986 0.4986
0.0014 0.0014 0.0014
0.2500 0.2500 0.2500
0.7500 0.7500 0.7500

Record 4
PBE-GGA MnZnCl2, relaxed; mass density = 2.7 g/cm³; E_form (uncorrected) = -429 meV per atom; DOS(E_F) = 1.21 states/eV/f.u.
1.0
-1.3272 2.6243 -2.1777
-1.3576 -3.3982 0.0059
-6.6426 2.6662 7.2614
Cl Mn Zn
2 1 1
Direct
0.0000 0.0000 0.0881
0.0000 0.0000 0.4119
0.5000 0.5000 0.2500
0.5000 0.5000 0.7500

Record 5
PBE-GGA MnZnCl2, relaxed; mass density = 3.3 g/cm³; E_form (uncorrected) = -350 meV per atom; DOS(E_F) = 1.26 states/eV/f.u.
1.0
-1.4447 2.5338 1.3046
1.2423 -0.7555 2.8431
7.5304 5.2671 -1.8908
Cl Mn Zn
2 1 1
Direct
0.0000 0.0000 0.0871
0.0000 0.0000 0.4129
0.5000 0.5000 0.2500
0.5000 0.5000 0.7500

Record 6
PBE-GGA MnZnCl2, relaxed; mass density = 2.9 g/cm³; E_form (uncorrected) = 86 meV per atom; DOS(E_F) = 5.96 states/eV/f.u.
1.0
6.8924 0.0000 0.0000
0.0000 6.8924 0.0000
3.4462 3.4462 4.6139
Zn Cl Mn
2 4 2
Direct
0.0000 0.0000 0.0000
0.7500 0.2500 0.5000
0.4678 0.1250 0.2500
0.8750 0.7178 0.7500
0.3750 0.5322 0.7500
0.2822 0.6250 0.2500
0.5000 0.5000 0.0000
0.2500 0.7500 0.5000

Record 7
PBE-GGA MnZn2Cl, relaxed; mass density = 5.3 g/cm³; E_form (uncorrected) = 226 meV per atom; DOS(E_F) = 1.44 states/eV/f.u.
1.0
5.3522 -0.0039 0.0000
2.5129 4.7256 0.0000
-3.9326 -2.3609 2.7582
Cl Zn Mn
1 2 1
Direct
0.5000 0.5000 0.0000
0.2500 0.7500 0.5000
0.0000 0.0000 0.0000
0.7500 0.2500 0.5000

Record 8
PBE-GGA MnZn2Cl, relaxed; mass density = 5.3 g/cm³; E_form (uncorrected) = 101 meV per atom; DOS(E_F) = 1.18 states/eV/f.u.
1.0
4.5670 0.0000 0.0000
0.0000 3.1047 0.0588
0.0000 -0.0942 4.9042
Zn Cl Mn
2 1 1
Direct
0.0000 0.1240 0.9812
0.5000 0.1262 0.2172
0.0000 0.6246 0.5526
0.5000 0.6253 0.7490